Entry 1:
Here is a crystal of PbSeOF2 relaxed with PBEsol from Alexandria via LeMat-Bulk. Energies are from meta-GGA SCAN.

Results
Energy relative to the elements, uncorrected   -0.7793 eV per atom

Structure (POSCAR):
```
PbSeOF2
1.0
4.2142 0.0000 0.0000
0.0000 4.5360 0.0000
0.0000 0.0000 4.5360
Pb O Se F
1 1 1 2
Direct
0.0000 0.0000 0.0000
0.5000 0.0000 0.0000
0.5000 0.5000 0.5000
0.0000 0.0000 0.5000
0.0000 0.5000 0.0000
```


Entry 2:
Here is a crystal of SiPbO2F relaxed with PBEsol from Alexandria via LeMat-Bulk. Energies are from meta-GGA SCAN.

Results
Energy relative to the elements, uncorrected   -0.3433 eV per atom

Structure (POSCAR):
```
SiPbO2F
1.0
-3.2185 1.5613 -2.3326
-2.7893 -1.3821 2.9235
0.3210 3.8109 2.1079
Pb Si O F
1 1 2 1
Direct
0.0000 0.0000 0.0000
0.5000 0.5000 0.5000
0.0000 0.5000 0.0000
0.5000 0.0000 0.0000
0.0000 0.0000 0.5000
```


Entry 3:
Here is a crystal of SiPbO2F relaxed with PBEsol from Alexandria via LeMat-Bulk. Energies are from meta-GGA SCAN.

Results
Energy relative to the elements, uncorrected   -1.6041 eV per atom

Structure (POSCAR):
```
SiPbO2F
1.0
3.7306 0.0000 0.0000
0.0000 3.7306 0.0000
0.0000 0.0000 4.3220
Pb Si O F
1 1 2 1
Direct
0.5000 0.5000 0.5000
0.0000 0.0000 0.0000
0.0000 0.5000 0.0000
0.5000 0.0000 0.0000
0.0000 0.0000 0.5000
```


Entry 4:
Here is a crystal of TcPbOF2 relaxed with PBEsol from Alexandria via LeMat-Bulk. Energies are from meta-GGA SCAN.

Results
Energy relative to the elements, uncorrected   -0.4923 eV per atom

Structure (POSCAR):
```
TcPbOF2
1.0
4.3350 0.0000 0.0000
0.0000 4.5653 0.0000
0.0000 0.0000 4.5653
Pb Tc O F
1 1 1 2
Direct
0.0000 0.0000 0.0000
0.5000 0.5000 0.5000
0.5000 0.0000 0.0000
0.0000 0.0000 0.5000
0.0000 0.5000 0.0000
```


Entry 5:
Here is a crystal of TlPbO2F relaxed with PBEsol from Alexandria via LeMat-Bulk. Energies are from meta-GGA SCAN.

Results
Energy relative to the elements, uncorrected   -0.9552 eV per atom

Structure (POSCAR):
```
TlPbO2F
1.0
4.2930 0.0000 0.0000
0.0000 4.2930 0.0000
0.0000 0.0000 4.3826
Pb Tl O F
1 1 2 1
Direct
0.5000 0.5000 0.5000
0.0000 0.0000 0.0000
0.0000 0.5000 0.0000
0.5000 0.0000 0.0000
0.0000 0.0000 0.5000
```


Entry 6:
Here is a crystal of V3Pb5O12F relaxed with PBEsol from Alexandria via LeMat-Bulk. Energies are from meta-GGA SCAN.

Results
Energy relative to the elements, uncorrected   -2.0772 eV per atom

Structure (POSCAR):
```
V3Pb5O12F
1.0
-0.7967 -4.8901 -5.2264
7.4703 4.3050 -5.1668
2.0089 -7.3426 6.5639
V Pb O F
6 10 24 2
Direct
0.7500 0.3833 0.9784
0.7500 0.5951 0.6167
0.7500 0.0216 0.4049
0.2500 0.6167 0.0216
0.2500 0.4049 0.3833
0.2500 0.9784 0.5951
0.9956 0.6667 0.3333
0.4956 0.3333 0.6667
0.0044 0.3333 0.6667
0.5044 0.6667 0.3333
0.7500 0.0120 0.7778
0.7500 0.7658 0.9880
0.7500 0.2222 0.2342
0.2500 0.9880 0.2222
0.2500 0.2342 0.0120
0.2500 0.7778 0.7658
0.7500 0.4906 0.1758
0.7500 0.6851 0.5094
0.7500 0.8242 0.3149
0.2500 0.5094 0.8242
0.2500 0.3149 0.4906
0.2500 0.1758 0.6851
0.7500 0.4961 0.8936
0.7500 0.3975 0.5039
0.7500 0.1064 0.6025
0.2500 0.5039 0.1064
0.2500 0.6025 0.4961
0.2500 0.8936 0.3975
0.9378 0.2634 0.9118
0.9378 0.6484 0.7366
0.9378 0.0882 0.3516
0.4378 0.7366 0.0882
0.4378 0.3516 0.2634
0.4378 0.9118 0.6484
0.0622 0.7366 0.0882
0.0622 0.3516 0.2634
0.0622 0.9118 0.6484
0.5622 0.2634 0.9118
0.5622 0.6484 0.7366
0.5622 0.0882 0.3516
0.0000 0.0000 0.0000
0.5000 0.0000 0.0000
```


Entry 7:
Here is a crystal of VPbOF5 relaxed with PBEsol from Alexandria via LeMat-Bulk. Energies are from meta-GGA SCAN.

Results
Energy relative to the elements, uncorrected   -2.7141 eV per atom

Structure (POSCAR):
```
VPbOF5
1.0
-0.4818 0.1886 -4.8113
9.2716 -0.3910 -0.9437
-0.4472 -9.7863 -0.3388
V Pb O F
4 4 4 20
Direct
0.8987 0.7500 0.4511
0.1013 0.2500 0.5489
0.8987 0.2500 0.0489
0.1013 0.7500 0.9511
0.5333 0.0000 0.7500
0.4667 0.5000 0.2500
0.4667 0.0000 0.2500
0.5333 0.5000 0.7500
0.1491 0.7500 0.5546
0.8509 0.2500 0.4454
0.1491 0.2500 0.9454
0.8509 0.7500 0.0546
0.4458 0.2500 0.6862
0.5542 0.7500 0.3138
0.4458 0.7500 0.8138
0.5542 0.2500 0.1862
0.9832 0.8884 0.8305
0.0168 0.3884 0.1695
0.9832 0.1116 0.6695
0.0168 0.6116 0.3305
0.0168 0.1116 0.1695
0.9832 0.6116 0.8305
0.0168 0.8884 0.3305
0.9832 0.3884 0.6695
0.6854 0.8900 0.5317
0.3146 0.3900 0.4683
0.6854 0.1100 0.9683
0.3146 0.6100 0.0317
0.3146 0.1100 0.4683
0.6854 0.6100 0.5317
0.3146 0.8900 0.0317
0.6854 0.3900 0.9683
```


Entry 8:
Here is a crystal of ZnPbO2F relaxed with PBEsol from Alexandria via LeMat-Bulk. Energies are from meta-GGA SCAN.

Results
Energy relative to the elements, uncorrected   -0.6094 eV per atom

Structure (POSCAR):
```
ZnPbO2F
1.0
-2.7252 2.6239 1.8554
1.3168 -1.3074 3.7829
3.0272 3.1254 0.0264
Pb Zn O F
1 1 2 1
Direct
0.0000 0.0000 0.0000
0.5000 0.5000 0.5000
0.0000 0.5000 0.0000
0.5000 0.0000 0.0000
0.0000 0.0000 0.5000
```


Entry 9:
Here is a crystal of Zr3PbO4F6 relaxed with PBEsol from Alexandria via LeMat-Bulk. Energies are from meta-GGA SCAN.

Results
Energy relative to the elements, uncorrected   -3.6355 eV per atom

Structure (POSCAR):
```
Zr3PbO4F6
1.0
7.7058 0.0000 0.0000
3.8529 6.6734 0.0000
3.8529 2.2245 6.2918
F O Pb Zr
12 8 2 6
Direct
0.5000 0.5000 0.1718
0.1718 0.8282 0.5000
0.8282 0.1718 0.5000
0.5000 0.5000 0.8282
0.5000 0.8282 0.1718
0.8282 0.5000 0.5000
0.1718 0.5000 0.5000
0.5000 0.1718 0.8282
0.8282 0.5000 0.1718
0.5000 0.1718 0.5000
0.5000 0.8282 0.5000
0.1718 0.5000 0.8282
0.1161 0.1161 0.6517
0.6517 0.1161 0.1161
0.1161 0.6517 0.1161
0.1161 0.1161 0.1161
0.3483 0.8839 0.8839
0.8839 0.8839 0.3483
0.8839 0.3483 0.8839
0.8839 0.8839 0.8839
0.2500 0.2500 0.2500
0.7500 0.7500 0.7500
0.2232 0.2232 0.7768
0.7768 0.7768 0.2232
0.2232 0.7768 0.7768
0.7768 0.2232 0.2232
0.7768 0.2232 0.7768
0.2232 0.7768 0.2232
```


Entry 10:
Here is a crystal of PdOF2 relaxed with PBEsol from Alexandria via LeMat-Bulk. Energies are from meta-GGA SCAN.

Results
Energy relative to the elements, uncorrected   -0.0563 eV per atom

Structure (POSCAR):
```
PdOF2
1.0
3.8542 0.0000 0.0000
1.9271 3.3379 0.0000
1.9271 1.1126 3.1470
O Pd F
1 1 2
Direct
0.0000 0.0000 0.0000
0.5000 0.5000 0.5000
0.2500 0.2500 0.2500
0.7500 0.7500 0.7500
```


Entry 11:
Here is a crystal of Pd3OF relaxed with PBEsol from Alexandria via LeMat-Bulk. Energies are from meta-GGA SCAN.

Results
Energy relative to the elements, uncorrected   0.7714 eV per atom

Structure (POSCAR):
```
Pd3OF
1.0
-3.2327 2.3406 -1.4010
-0.6525 -2.7728 -3.1269
-2.6487 -2.1737 2.4802
O Pd F
1 3 1
Direct
0.5000 0.5000 0.5000
0.0000 0.5000 0.0000
0.0000 0.0000 0.5000
0.5000 0.0000 0.0000
0.0000 0.0000 0.0000
```


Entry 12:
Here is a crystal of PdOF3 relaxed with PBEsol from Alexandria via LeMat-Bulk. Energies are from meta-GGA SCAN.

Results
Energy relative to the elements, uncorrected   0.3344 eV per atom

Structure (POSCAR):
```
PdOF3
1.0
3.7848 0.0000 0.0000
0.0000 3.7848 0.0000
0.0000 0.0000 3.7848
O Pd F
1 1 3
Direct
0.0000 0.0000 0.0000
0.5000 0.5000 0.5000
0.0000 0.5000 0.0000
0.0000 0.0000 0.5000
0.5000 0.0000 0.0000
```